A plane-wave DFT calculation with PBE with a Hubbard U was carried out for Ac2Mn3O8 after structural relaxation. Values from VASP.

Cell and atoms, written as Quantum ESPRESSO input:
```
&SYSTEM
  ibrav = 0, nat = 13, ntyp = 3
/
ATOMIC_SPECIES
Mn 54.94 Mn.upf
O 16.00 O.upf
Ac 227.00 Ac.upf
ATOMIC_POSITIONS crystal
Mn 0.500 0.500 0.000
O 0.500 0.000 0.311
O 0.500 0.000 0.689
Mn 0.500 0.500 0.674
Mn 0.500 0.500 0.326
O 0.000 0.500 0.311
O 0.000 0.500 0.000
O 0.500 0.000 0.000
Ac 0.000 0.000 0.168
O 0.500 0.500 0.153
O 0.500 0.500 0.847
O 0.000 0.500 0.689
Ac 0.000 0.000 0.832
CELL_PARAMETERS angstrom
-3.369 -1.881 0.506
0.518 0.108 3.855
-6.103 11.071 0.510
```

Computed properties:
- uncorrected energy (eV/atom) = -7.60
- D(E_F) (states/eV per atom) = 0.498